Na2HgOsPt | PBE-GGA | relaxed

Results
DOS at the Fermi energy = 0.894 states/eV/atom
VASP energy = -3.178 eV/atom
Mass density = 6.87 Mg/m³

```
Na2HgOsPt
1.0
-1.789 -4.477 -2.965
2.875 1.232 -3.596
4.145 -3.138 2.238
Pt Na Os Hg
1 2 1 1
direct
0.000 0.500 0.000
0.500 0.000 0.000
0.000 0.000 0.500
0.000 0.000 0.000
0.500 0.500 0.500
```